(1)
# NdDy3Al

A relaxed structure of NdDy3Al (PBE, the Alexandria database).

energy above the most stable polymorph in this dataset = 60 meV/atom
calculated total energy = -4.541 eV/atom
SG = C2/m (12)
density of states at the Fermi level = 5.19 states/eV/f.u.
formation enthalpy at 0 K = -0.078 eV per atom
calculated density = 7357 kg/m3

Cell and atoms, written as extended XYZ:
```
20
Lattice="-0.1627 2.0568 -5.0059 7.9150 -4.7131 -2.1938 -6.7427 -8.8158 -3.4031" Properties=species:S:1:pos:R:3 pbc="T T T"
Dy 1.6874 -3.5335 -7.3608
Dy 0.1836 -11.2020 -4.6099
Dy -2.4640 -5.7055 -5.1936
Dy 3.4736 -5.7665 -5.4092
Dy 2.6123 -2.5038 -4.0396
Dy -0.6778 -7.9385 -3.2420
Dy 2.0245 -9.6063 -6.9415
Dy -4.3049 -7.3018 -2.8607
Dy -1.0148 -1.8658 -3.6613
Dy -1.6026 -8.9683 -6.5633
Dy 0.8261 -0.2701 -5.9929
Dy 5.3146 -4.1703 -7.7421
Nd -5.0609 -8.1520 -6.1127
Nd 6.0706 -3.3200 -4.4901
Nd 2.6179 -6.6999 -8.6938
Nd -1.6082 -4.7722 -1.9091
Al 0.7214 -6.9770 -5.8206
Al 4.0115 -1.5423 -6.6181
Al 0.2883 -4.4951 -4.7822
Al -3.0018 -9.9298 -3.9847
```

=====

(2)
# CsSmI2

A relaxed structure of CsSmI2 (PBE, the Alexandria database).

energy above the most stable polymorph in this dataset = 9 meV/atom
calculated total energy = -3.137 eV/atom
SG = P4/mmm (123)
density of states at the Fermi level = 1.72 states/eV/f.u.
formation energy from raw total energies = -0.969 eV/atom
calculated density = 6161 kg/m3

Cell and atoms, written as extended XYZ:
```
4
Lattice="-1.4250 0.9952 3.5894 -1.1783 -3.7662 0.5764 8.0635 -1.9501 3.7420" Properties=species:S:1:pos:R:3 pbc="T T T"
I 6.4431 -1.5582 2.9900
I 1.6203 -0.3919 0.7519
Sm -1.3017 -1.3855 2.0829
Cs 2.7301 -2.3606 3.9539
```